Entry 1:
NaScCuO2 (GGA-PBE, relaxed); raw formation energy = -1.65 eV/atom
1.0
5.9268 0.0000 0.0000
0.0000 4.7418 0.0000
-0.3483 0.0000 5.9978
Na Sc Cu O
2 2 2 4
direct
0.0000 0.1625 0.2500 Na
0.0000 0.8375 0.7500 Na
0.5000 0.0117 0.7500 Sc
0.5000 0.9883 0.2500 Sc
0.5000 0.5000 0.0000 Cu
0.5000 0.5000 0.5000 Cu
0.2888 0.1341 0.9920 O
0.2888 0.8659 0.4920 O
0.7112 0.1341 0.5080 O
0.7112 0.8659 0.0080 O


Entry 2:
NaCuSe2O6 (GGA-PBE, relaxed); raw formation energy = -0.83 eV/atom
1.0
5.9579 -3.9907 0.0000
5.9579 3.9907 0.0000
-4.5209 0.0000 6.3346
Na Cu Se O
2 2 4 12
direct
0.1938 0.8062 0.7500 Na
0.8062 0.1938 0.2500 Na
0.2354 0.7646 0.2500 Cu
0.7646 0.2354 0.7500 Cu
0.2543 0.3287 0.8481 Se
0.3287 0.2543 0.3481 Se
0.6713 0.7457 0.6519 Se
0.7457 0.6713 0.1519 Se
0.0296 0.2122 0.7168 O
0.1661 0.6083 0.9540 O
0.2122 0.0296 0.2168 O
0.2559 0.4137 0.5602 O
0.3917 0.8339 0.5460 O
0.4137 0.2559 0.0602 O
0.5863 0.7441 0.9398 O
0.6083 0.1661 0.4540 O
0.7441 0.5863 0.4398 O
0.7878 0.9704 0.7832 O
0.8339 0.3917 0.0460 O
0.9704 0.7878 0.2832 O